[1]
Below is a PBEsol-optimized structure of MgTeSN2, with properties calculated at the meta-GGA SCAN level.

Computed properties:
uncorrected formation energy: 1.15 eV/atom
final energy: -12.932 eV per atom
space group: P4/mmm, No. 123
spin magnetization: 0.9050 μB per atom

Cell and atoms, written as POSCAR:
```
MgTeSN2
1.0
-1.016 0.043 3.870
-3.712 -1.143 -0.962
1.689 -5.913 0.509
N Te S Mg
2 1 1 1
Cartesian
-1.856 -0.572 -0.481
-0.508 0.021 1.935
0.844 -2.956 0.254
-1.520 -3.506 1.709
0.000 0.000 0.000
```



[2]
Below is a PBEsol-optimized structure of MgTiS2N, with properties calculated at the meta-GGA SCAN level.

Computed properties:
uncorrected formation energy: -0.66 eV/atom
final energy: -10.567 eV per atom
space group: P4/mmm, No. 123
spin magnetization: 0.2004 μB per atom

Cell and atoms, written as POSCAR:
```
MgTiS2N
1.0
3.751 0.000 0.000
0.000 4.782 0.000
0.000 0.000 4.782
Mg N Ti S
1 1 1 2
Cartesian
1.876 2.391 2.391
1.876 0.000 0.000
0.000 0.000 0.000
0.000 0.000 2.391
0.000 2.391 0.000
```



[3]
Below is a PBEsol-optimized structure of MgWSN2, with properties calculated at the meta-GGA SCAN level.

Computed properties:
uncorrected formation energy: 1.60 eV/atom
final energy: -18.972 eV per atom
space group: P4/mmm, No. 123
spin magnetization: 0.0013 μB per atom

Cell and atoms, written as POSCAR:
```
MgWSN2
1.0
-0.678 -3.316 -1.684
2.685 0.748 -2.554
3.136 -2.016 2.706
N S W Mg
2 1 1 1
Cartesian
-0.339 -1.658 -0.842
1.342 0.374 -1.277
1.568 -1.008 1.353
2.571 -2.292 -0.766
0.000 0.000 0.000
```



[4]
Below is a PBEsol-optimized structure of MgSbTeN2, with properties calculated at the meta-GGA SCAN level.

Computed properties:
uncorrected formation energy: 0.85 eV/atom
final energy: -18.760 eV per atom
space group: P4/mmm, No. 123
spin magnetization: 0.2403 μB per atom

Cell and atoms, written as POSCAR:
```
MgSbTeN2
1.0
4.045 0.000 0.000
0.000 4.045 0.000
0.000 0.000 6.089
Mg Sb N Te
1 1 2 1
Cartesian
2.023 2.023 3.045
0.000 0.000 0.000
2.023 0.000 0.000
0.000 2.023 0.000
0.000 0.000 3.045
```



[5]
Below is a PBEsol-optimized structure of MgSc3N, with properties calculated at the meta-GGA SCAN level.

Computed properties:
uncorrected formation energy: -0.92 eV/atom
final energy: -12.318 eV per atom
space group: Pm-3m, No. 221
spin magnetization: 0.0642 μB per atom

Cell and atoms, written as POSCAR:
```
MgSc3N
1.0
-4.149 -1.526 -0.714
1.644 -4.081 -0.834
-0.367 -1.035 4.341
Sc N Mg
3 1 1
Cartesian
-2.074 -0.763 -0.357
-0.183 -0.518 2.171
0.822 -2.040 -0.417
0.000 0.000 0.000
-1.436 -3.321 1.396
```



[6]
Below is a PBEsol-optimized structure of MgScN2, with properties calculated at the meta-GGA SCAN level.

Computed properties:
uncorrected formation energy: -0.62 eV/atom
final energy: -10.069 eV per atom
space group: R-3m, No. 166
spin magnetization: 0.2391 μB per atom

Cell and atoms, written as POSCAR:
```
MgScN2
1.0
-1.141 1.738 2.599
-3.201 0.904 0.121
-2.776 -4.206 3.726
N Sc Mg
2 1 1
Cartesian
-2.348 -2.567 2.817
-4.771 1.002 3.629
-3.560 -0.782 3.223
0.000 0.000 0.000
```



[7]
Below is a PBEsol-optimized structure of Mg2SeN, with properties calculated at the meta-GGA SCAN level.

Computed properties:
uncorrected formation energy: -0.67 eV/atom
final energy: -10.498 eV per atom
space group: I-42d, No. 122
spin magnetization: 0.0000 μB per atom

Cell and atoms, written as POSCAR:
```
Mg2SeN
1.0
6.409 0.000 0.000
-3.204 4.290 -1.123
0.000 -3.358 5.459
Mg Se N
4 2 2
Cartesian
2.186 -0.187 1.766
1.602 2.492 0.338
-1.602 1.425 2.072
4.223 -1.866 4.496
0.000 0.000 0.000
0.000 -0.373 3.532
3.204 -1.679 2.729
3.204 1.306 0.803
```



[8]
Below is a PBEsol-optimized structure of MgSiSe2N, with properties calculated at the meta-GGA SCAN level.

Computed properties:
uncorrected formation energy: 0.76 eV/atom
final energy: -12.123 eV per atom
space group: P4/mmm, No. 123
spin magnetization: 0.5668 μB per atom

Cell and atoms, written as POSCAR:
```
MgSiSe2N
1.0
3.879 0.000 0.000
0.000 5.052 0.000
0.000 0.000 5.052
Se Si N Mg
2 1 1 1
Cartesian
0.000 2.526 0.000
0.000 0.000 2.526
1.940 2.526 2.526
1.940 0.000 0.000
0.000 0.000 0.000
```



Repeat the third record exactly.
Below is a PBEsol-optimized structure of MgWSN2, with properties calculated at the meta-GGA SCAN level.

Computed properties:
uncorrected formation energy: 1.60 eV/atom
final energy: -18.972 eV per atom
space group: P4/mmm, No. 123
spin magnetization: 0.0013 μB per atom

Cell and atoms, written as POSCAR:
```
MgWSN2
1.0
-0.678 -3.316 -1.684
2.685 0.748 -2.554
3.136 -2.016 2.706
N S W Mg
2 1 1 1
Cartesian
-0.339 -1.658 -0.842
1.342 0.374 -1.277
1.568 -1.008 1.353
2.571 -2.292 -0.766
0.000 0.000 0.000
```